# 1
{
  "formula": "Ac6OsRu2I3",
  "functional": "GGA-PBE",
  "state": "relaxed",
  "spacegroup": "C2/m (12)",
  "raw_formation_energy_ev_per_atom": -0.641,
  "dos_ef_per_ev_cell": 7.31,
  "cell": [[7.579, -0.001, 0.000], [-3.788, 6.564, 0.000], [-1.264, -2.189, 8.578]],
  "species": ["Ac", "Ac", "Ac", "Ac", "Ac", "Ac", "Os", "Ru", "Ru", "I", "I", "I"],
  "fractional_positions": [[0.939, 0.606, 0.817], [0.728, 0.728, 0.183], [0.061, 0.394, 0.183], [0.606, 0.939, 0.817], [0.272, 0.272, 0.817], [0.394, 0.061, 0.183], [0.000, 0.000, 0.000], [0.333, 0.667, 0.000], [0.667, 0.333, 0.000], [0.167, 0.833, 0.500], [0.833, 0.167, 0.500], [0.500, 0.500, 0.500]]
}

***

# 2
{
  "formula": "Rb2U2S5",
  "functional": "GGA-PBE",
  "state": "relaxed",
  "polymorph_energy_ev_per_fu": 0.00,
  "spacegroup": "Cmce (64)",
  "raw_formation_energy_ev_per_atom": -1.393,
  "dos_ef_per_ev_cell": 15.68,
  "cell": [[-5.432, -1.842, -5.006], [5.288, -0.962, -5.385], [-1.932, -7.303, 4.783]],
  "species": ["Rb", "Rb", "Rb", "Rb", "U", "U", "U", "U", "S", "S", "S", "S", "S", "S", "S", "S", "S", "S"],
  "fractional_positions": [[0.000, 0.207, 0.413], [0.500, 0.707, 0.413], [0.000, 0.793, 0.587], [0.500, 0.293, 0.587], [0.663, 0.837, 0.000], [0.337, 0.163, 0.000], [0.163, 0.663, 0.000], [0.837, 0.337, 0.000], [0.000, 0.000, 0.000], [0.500, 0.500, 0.000], [0.856, 0.750, 0.212], [0.144, 0.462, 0.212], [0.356, 0.962, 0.212], [0.644, 0.250, 0.212], [0.144, 0.250, 0.788], [0.856, 0.538, 0.788], [0.644, 0.038, 0.788], [0.356, 0.750, 0.788]]
}

***

# 3
{
  "formula": "CsMn2SbI8",
  "functional": "GGA-PBE",
  "state": "relaxed",
  "spacegroup": "R-3 (148)",
  "raw_formation_energy_ev_per_atom": -0.565,
  "cell": [[7.516, 0.000, 0.000], [3.758, 6.509, 0.000], [3.758, 2.170, 11.269]],
  "species": ["Cs", "Mn", "Mn", "Sb", "I", "I", "I", "I", "I", "I", "I", "I"],
  "fractional_positions": [[0.500, 0.500, 0.500], [0.256, 0.256, 0.232], [0.744, 0.744, 0.768], [0.000, 0.000, 0.000], [0.179, 0.179, 0.464], [0.624, 0.283, 0.160], [0.821, 0.821, 0.536], [0.932, 0.624, 0.160], [0.068, 0.376, 0.840], [0.283, 0.932, 0.160], [0.717, 0.068, 0.840], [0.376, 0.717, 0.840]]
}

***

# 4
{
  "formula": "MnBeFeP",
  "functional": "GGA-PBE",
  "state": "relaxed",
  "spacegroup": "F-43m (216)",
  "dos_ef_per_ev_cell": 4.20,
  "formation_energy_ev_per_atom": -0.347,
  "cell": [[-2.415, 2.020, -2.073], [-2.390, -1.740, -2.339], [-3.686, -0.080, 0.788]],
  "species": ["P", "Mn", "Fe", "Be"],
  "fractional_positions": [[0.500, 0.500, 0.500], [0.750, 0.750, 0.750], [0.250, 0.250, 0.250], [0.000, 0.000, 0.000]]
}